1.
LiInSb after structural relaxation, computed with PBE-GGA.

The structure in POSCAR format:
```
LiInSb
1.0
4.812 0.000 0.000
0.000 4.812 0.000
0.000 0.000 7.320
Li In Sb
2 2 2
direct
0.000 0.000 0.250
0.000 0.000 0.750
0.500 0.500 0.250
0.500 0.500 0.750
0.000 0.500 0.000
0.500 0.000 0.500
```

Results
* energy: -19.23 eV/cell
* energy relative to the elements, uncorrected: -27.02 kJ per mole of atoms
* relative energy among the computed polymorphs: 3.1 meV per atom
* volume: 28.25 A^3/atom

2.
MgPtW2Cl after structural relaxation, computed with PBE-GGA.

The structure in POSCAR format:
```
MgPtW2Cl
1.0
4.846 0.000 0.000
0.000 4.846 0.000
0.000 0.000 4.513
Mg Pt W Cl
1 1 2 1
direct
0.000 0.000 0.000
0.000 0.000 0.500
0.000 0.500 0.000
0.500 0.000 0.000
0.500 0.500 0.500
```

Results
* energy: -23.46 eV/cell
* energy relative to the elements, uncorrected: 230.13 kJ per mole of atoms
* volume: 21.20 A^3/atom

3.
Ca3EuIr after structural relaxation, computed with PBE-GGA.

The structure in POSCAR format:
```
Ca3EuIr
1.0
5.625 0.000 0.000
0.000 5.625 0.000
0.000 0.000 5.625
Ca Eu Ir
3 1 1
direct
0.000 0.000 0.500
0.000 0.500 0.000
0.500 0.000 0.000
0.500 0.500 0.500
0.000 0.000 0.000
```

Results
* energy: -25.89 eV/cell
* energy of formation from the pure elements: -0.150 eV/atom
* volume: 35.60 A^3/atom

4.
Ag3SbS3 after structural relaxation, computed with PBE-GGA.

The structure in POSCAR format:
```
Ag3SbS3
1.0
5.476 3.162 3.165
-5.476 3.162 3.165
0.000 -6.323 3.165
Ag Sb S
6 2 6
direct
0.080 0.296 0.624
0.124 0.796 0.580
0.296 0.624 0.080
0.580 0.124 0.796
0.624 0.080 0.296
0.796 0.580 0.124
0.033 0.033 0.033
0.533 0.533 0.533
0.275 0.939 0.285
0.285 0.275 0.939
0.439 0.775 0.785
0.775 0.785 0.439
0.785 0.439 0.775
0.939 0.285 0.275
```

Results
* energy: -51.90 eV/cell
* energy relative to the elements, uncorrected: -12.27 kJ per mole of atoms
* relative energy among the computed polymorphs: 2.7 meV per atom
* volume: 23.49 A^3/atom

5.
ThMg4Ni4 after structural relaxation, computed with PBE-GGA.

The structure in POSCAR format:
```
ThMg4Ni4
1.0
8.229 0.000 0.000
0.000 8.229 0.000
0.000 0.000 5.102
Th Mg Ni
2 8 8
direct
0.250 0.250 0.250
0.750 0.750 0.750
0.091 0.654 0.144
0.154 0.909 0.644
0.346 0.591 0.644
0.409 0.846 0.144
0.591 0.154 0.856
0.654 0.409 0.356
0.846 0.091 0.356
0.909 0.346 0.856
0.027 0.607 0.646
0.107 0.973 0.146
0.393 0.527 0.146
0.473 0.893 0.646
0.527 0.107 0.354
0.607 0.473 0.854
0.893 0.027 0.854
0.973 0.393 0.354
```

Results
* energy: -74.19 eV/cell
* energy of formation from the pure elements: -0.019 eV/atom
* volume: 19.19 A^3/atom

6.
Tc3Br after structural relaxation, computed with PBE-GGA.

The structure in POSCAR format:
```
Tc3Br
1.0
4.555 0.000 0.000
0.000 4.555 0.000
0.000 0.000 2.959
Tc Br
3 1
direct
0.000 0.000 0.000
0.000 0.500 0.500
0.500 0.000 0.500
0.500 0.500 0.000
```

Results
* energy: -29.36 eV/cell
* energy relative to the elements, uncorrected: 82.16 kJ per mole of atoms
* relative energy among the computed polymorphs: 342.0 meV per atom
* volume: 15.35 A^3/atom

7.
CuOs2Se after structural relaxation, computed with PBE-GGA.

The structure in POSCAR format:
```
CuOs2Se
1.0
2.851 0.000 0.000
0.000 3.677 0.000
0.000 0.000 5.709
Cu Os Se
1 2 1
direct
0.000 0.000 0.000
0.000 0.000 0.463
0.500 0.500 0.247
0.500 0.500 0.777
```

Results
* energy: -27.69 eV/cell
* energy relative to the elements, uncorrected: 56.64 kJ per mole of atoms
* volume: 14.96 A^3/atom

8.
Sr3CdMo after structural relaxation, computed with PBE-GGA.

The structure in POSCAR format:
```
Sr3CdMo
1.0
5.792 0.000 0.000
0.000 5.792 0.000
0.000 0.000 5.792
Sr Cd Mo
3 1 1
direct
0.000 0.000 0.500
0.000 0.500 0.000
0.500 0.000 0.000
0.500 0.500 0.500
0.000 0.000 0.000
```

Results
* energy: -13.16 eV/cell
* relative energy among the computed polymorphs: 0.0 meV per atom
* energy of formation from the pure elements: 0.727 eV/atom
* volume: 38.85 A^3/atom

9.
Tl2ReRu after structural relaxation, computed with PBE-GGA.

The structure in POSCAR format:
```
Tl2ReRu
1.0
2.978 0.000 0.000
0.000 3.039 0.000
-1.489 0.000 8.889
Tl Re Ru
2 1 1
direct
0.000 0.000 0.000
0.163 0.500 0.333
0.792 0.000 0.587
0.374 0.500 0.752
```

Results
* energy: -24.72 eV/cell
* relative energy among the computed polymorphs: 0.0 meV per atom
* energy of formation from the pure elements: 0.435 eV/atom
* volume: 20.11 A^3/atom

10.
U2GaCo3 after structural relaxation, computed with PBE-GGA.

The structure in POSCAR format:
```
U2GaCo3
1.0
5.151 0.000 0.000
-2.575 4.461 0.000
0.000 0.000 7.649
U Ga Co
4 2 6
direct
0.333 0.667 0.072
0.333 0.667 0.428
0.667 0.333 0.572
0.667 0.333 0.928
0.000 0.000 0.000
0.000 0.000 0.500
0.171 0.342 0.750
0.171 0.829 0.750
0.342 0.171 0.250
0.658 0.829 0.750
0.829 0.171 0.250
0.829 0.658 0.250
```

Results
* energy: -97.46 eV/cell
* energy of formation from the pure elements: -0.302 eV/atom
* volume: 14.65 A^3/atom

11.
CsMgBi after structural relaxation, computed with PBE-GGA.

The structure in POSCAR format:
```
CsMgBi
1.0
4.295 0.000 0.000
0.000 4.295 0.000
0.000 0.000 13.949
Cs Mg Bi
2 2 2
direct
0.000 0.000 0.000
0.500 0.500 0.500
0.000 0.000 0.258
0.500 0.500 0.758
0.000 0.000 0.721
0.500 0.500 0.221
```

Results
* energy: -13.56 eV/cell
* energy of formation from the pure elements: -0.150 eV/atom
* volume: 42.88 A^3/atom

12.
ScNi2GeH after structural relaxation, computed with PBE-GGA.

The structure in POSCAR format:
```
ScNi2GeH
1.0
1.831 -4.948 0.000
1.831 4.948 0.000
0.000 0.000 6.788
Sc Ni Ge H
2 4 2 2
direct
0.055 0.945 0.750
0.945 0.055 0.250
0.343 0.657 0.556
0.343 0.657 0.944
0.657 0.343 0.056
0.657 0.343 0.444
0.228 0.772 0.250
0.772 0.228 0.750
0.500 0.500 0.000
0.500 0.500 0.500
```

Results
* energy: -57.47 eV/cell
* relative energy among the computed polymorphs: 0.0 meV per atom
* volume: 12.30 A^3/atom

13.
TiPbS2 after structural relaxation, computed with PBE-GGA.

The structure in POSCAR format:
```
TiPbS2
1.0
8.220 0.000 0.000
0.000 3.389 0.000
0.000 0.000 13.786
Ti Pb S
4 4 8
direct
0.018 0.250 0.093
0.482 0.750 0.593
0.518 0.250 0.407
0.982 0.750 0.907
0.036 0.250 0.624
0.464 0.750 0.124
0.536 0.250 0.876
0.964 0.750 0.376
0.133 0.750 0.199
0.184 0.250 0.953
0.316 0.750 0.453
0.367 0.250 0.699
0.633 0.750 0.301
0.684 0.250 0.547
0.816 0.750 0.047
0.867 0.250 0.801
```

Results
* energy: -93.60 eV/cell
* energy relative to the elements, uncorrected: -85.45 kJ per mole of atoms
* volume: 24.00 A^3/atom

14.
TbTlZnAg after structural relaxation, computed with PBE-GGA.

The structure in POSCAR format:
```
TbTlZnAg
1.0
7.044 0.000 0.000
0.000 7.044 0.000
0.000 0.000 7.044
Tb Tl Zn Ag
4 4 4 4
direct
0.000 0.000 0.000
0.000 0.500 0.500
0.500 0.000 0.500
0.500 0.500 0.000
0.000 0.000 0.500
0.000 0.500 0.000
0.500 0.000 0.000
0.500 0.500 0.500
0.250 0.250 0.750
0.250 0.750 0.250
0.750 0.250 0.250
0.750 0.750 0.750
0.250 0.250 0.250
0.250 0.750 0.750
0.750 0.250 0.750
0.750 0.750 0.250
```

Results
* energy: -47.78 eV/cell
* energy of formation from the pure elements: -0.206 eV/atom
* volume: 21.84 A^3/atom

15.
Sr2AsPd2 after structural relaxation, computed with PBE-GGA.

The structure in POSCAR format:
```
Sr2AsPd2
1.0
7.331 0.000 0.000
0.000 7.331 0.000
0.000 0.000 4.488
Sr As Pd
4 2 4
direct
0.180 0.320 0.000
0.320 0.820 0.000
0.680 0.180 0.000
0.820 0.680 0.000
0.000 0.000 0.500
0.500 0.500 0.500
0.133 0.633 0.500
0.367 0.133 0.500
0.633 0.867 0.500
0.867 0.367 0.500
```

Results
* energy: -43.08 eV/cell
* relative energy among the computed polymorphs: 139.6 meV per atom
* energy of formation from the pure elements: -0.628 eV/atom
* volume: 24.12 A^3/atom

16.
TbFe4Ni after structural relaxation, computed with PBE-GGA.

The structure in POSCAR format:
```
TbFe4Ni
1.0
0.000 3.496 3.496
3.496 0.000 3.496
3.496 3.496 0.000
Tb Fe Ni
1 4 1
direct
0.000 0.000 0.000
0.376 0.376 0.376
0.376 0.376 0.873
0.376 0.873 0.376
0.873 0.376 0.376
0.750 0.750 0.750
```

Results
* energy: -43.96 eV/cell
* energy of formation from the pure elements: 0.050 eV/atom
* volume: 14.24 A^3/atom

17.
Dy3AlTe after structural relaxation, computed with PBE-GGA.

The structure in POSCAR format:
```
Dy3AlTe
1.0
9.908 0.000 0.000
0.000 6.318 0.000
-4.312 0.000 9.421
Dy Al Te
12 4 4
direct
0.095 0.125 0.176
0.095 0.375 0.676
0.274 0.572 0.439
0.274 0.928 0.939
0.299 0.064 0.558
0.299 0.436 0.058
0.701 0.564 0.942
0.701 0.936 0.442
0.726 0.072 0.061
0.726 0.428 0.561
0.905 0.625 0.324
0.905 0.875 0.824
0.049 0.640 0.112
0.049 0.860 0.612
0.951 0.140 0.388
0.951 0.360 0.888
0.429 0.224 0.349
0.429 0.276 0.849
0.571 0.724 0.151
0.571 0.776 0.651
```

Results
* energy: -92.27 eV/cell
* energy relative to the elements, uncorrected: -45.88 kJ per mole of atoms
* volume: 29.49 A^3/atom

18.
NdSmN2 after structural relaxation, computed with PBE-GGA.

The structure in POSCAR format:
```
NdSmN2
1.0
3.552 0.000 0.000
-1.776 3.076 0.000
0.000 0.000 6.249
Nd Sm N
1 1 2
direct
0.000 0.000 0.000
0.000 0.000 0.500
0.333 0.667 0.746
0.667 0.333 0.254
```

Results
* energy: -30.45 eV/cell
* energy relative to the elements, uncorrected: -103.96 kJ per mole of atoms
* volume: 17.07 A^3/atom

19.
KTiGa2Rh after structural relaxation, computed with PBE-GGA.

The structure in POSCAR format:
```
KTiGa2Rh
1.0
4.908 0.000 0.000
0.000 4.908 0.000
0.000 0.000 4.853
K Ti Ga Rh
1 1 2 1
direct
0.000 0.000 0.000
0.500 0.500 0.000
0.000 0.500 0.500
0.500 0.000 0.500
0.500 0.500 0.500
```

Results
* energy: -22.10 eV/cell
* energy of formation from the pure elements: 0.060 eV/atom
* volume: 23.39 A^3/atom

20.
VGaNiRh after structural relaxation, computed with PBE-GGA.

The structure in POSCAR format:
```
VGaNiRh
1.0
3.841 0.000 0.000
0.000 3.841 0.000
0.000 0.000 7.126
V Ga Ni Rh
2 2 2 2
direct
0.000 0.000 0.000
0.500 0.500 0.500
0.000 0.000 0.500
0.500 0.500 0.000
0.000 0.500 0.250
0.500 0.000 0.750
0.000 0.500 0.750
0.500 0.000 0.250
```

Results
* energy: -53.94 eV/cell
* relative energy among the computed polymorphs: 0.0 meV per atom
* energy of formation from the pure elements: -0.423 eV/atom
* volume: 13.14 A^3/atom

21.
BaCd2Sb after structural relaxation, computed with PBE-GGA.

The structure in POSCAR format:
```
BaCd2Sb
1.0
4.523 0.000 0.000
0.000 4.547 0.000
-0.030 0.000 6.528
Ba Cd Sb
1 2 1
direct
0.000 0.000 0.000
0.002 0.500 0.524
0.499 0.000 0.522
0.501 0.500 0.203
```

Results
* energy: -9.37 eV/cell
* energy relative to the elements, uncorrected: -35.97 kJ per mole of atoms
* volume: 33.56 A^3/atom

22.
Ce5ThS6 after structural relaxation, computed with PBE-GGA.

The structure in POSCAR format:
```
Ce5ThS6
1.0
3.483 -6.030 0.000
3.483 6.030 0.000
-2.319 0.000 6.566
Ce Th S
5 1 6
direct
0.000 0.000 0.000
0.167 0.833 0.500
0.333 0.667 0.000
0.667 0.333 0.000
0.833 0.167 0.500
0.500 0.500 0.500
0.082 0.416 0.249
0.249 0.249 0.751
0.416 0.082 0.249
0.584 0.918 0.751
0.751 0.751 0.249
0.918 0.584 0.751
```

Results
* energy: -86.05 eV/cell
* energy relative to the elements, uncorrected: -194.53 kJ per mole of atoms
* volume: 22.98 A^3/atom

23.
Zr3AlSi3 after structural relaxation, computed with PBE-GGA.

The structure in POSCAR format:
```
Zr3AlSi3
1.0
7.922 0.000 0.000
-3.961 6.861 0.000
0.000 0.000 5.240
Zr Al Si
6 2 6
direct
0.077 0.398 0.250
0.321 0.923 0.250
0.398 0.321 0.750
0.602 0.679 0.250
0.679 0.077 0.750
0.923 0.602 0.750
0.333 0.667 0.750
0.667 0.333 0.250
0.056 0.333 0.750
0.276 0.944 0.750
0.333 0.276 0.250
0.667 0.724 0.750
0.724 0.056 0.250
0.944 0.667 0.250
```

Results
* energy: -97.49 eV/cell
* energy relative to the elements, uncorrected: -42.59 kJ per mole of atoms
* relative energy among the computed polymorphs: 0.0 meV per atom
* volume: 20.34 A^3/atom

24.
AcEuCo4 after structural relaxation, computed with PBE-GGA.

The structure in POSCAR format:
```
AcEuCo4
1.0
0.000 3.718 3.718
3.718 0.000 3.718
3.718 3.718 0.000
Ac Eu Co
1 1 4
direct
0.000 0.000 0.000
0.250 0.250 0.250
0.127 0.624 0.624
0.624 0.127 0.624
0.624 0.624 0.127
0.624 0.624 0.624
```

Results
* energy: -42.08 eV/cell
* energy of formation from the pure elements: 0.122 eV/atom
* volume: 17.13 A^3/atom